[1]
Pm3Sc2In3: optimized geometry, PBE-GGA.

```
data_Pm3Sc2In3
_space_group_name_H-M_alt 'P 1'
_space_group_IT_number 1
_cell_length_a 4.4128
_cell_length_b 4.9186
_cell_length_c 10.6311
_cell_angle_alpha 103.38
_cell_angle_beta 101.98
_cell_angle_gamma 90.00
loop_
_space_group_symop_operation_xyz
'x,y,z'
loop_
_atom_site_label
_atom_site_type_symbol
_atom_site_fract_x
_atom_site_fract_y
_atom_site_fract_z
Pm1 Pm 0.6236 0.6236 0.2471
Pm2 Pm 0.3764 0.3764 0.7529
Pm3 Pm 0.5000 0.0000 0.0000
Sc1 Sc 0.7421 0.2421 0.4841
Sc2 Sc 0.2579 0.7579 0.5159
In1 In 0.1394 0.1394 0.2789
In2 In 0.0000 0.5000 0.0000
In3 In 0.8606 0.8606 0.7211
```

## Properties
Space group ... No. 71
Energy of formation from the pure elements ... -0.34 eV per atom
Crystal system ... orthorhombic

[2]
Zr2NbCl: optimized geometry, PBE-GGA.

```
data_Zr2NbCl
_space_group_name_H-M_alt 'P 1'
_space_group_IT_number 1
_cell_length_a 4.1656
_cell_length_b 4.1656
_cell_length_c 10.2317
_cell_angle_alpha 78.25
_cell_angle_beta 78.25
_cell_angle_gamma 90.00
loop_
_space_group_symop_operation_xyz
'x,y,z'
loop_
_atom_site_label
_atom_site_type_symbol
_atom_site_fract_x
_atom_site_fract_y
_atom_site_fract_z
Nb1 Nb 0.0000 0.0000 0.0000
Nb2 Nb 0.7500 0.2500 0.5000
Zr1 Zr 0.6245 0.1250 0.2500
Zr2 Zr 0.1255 0.6250 0.2500
Zr3 Zr 0.3750 0.3755 0.7500
Zr4 Zr 0.8750 0.8745 0.7500
Cl1 Cl 0.5000 0.5000 0.0000
Cl2 Cl 0.2500 0.7500 0.5000
```

## Properties
Formation energy (no corrections) ... 0.554 eV per atom
Space group ... No. 122
Crystal system ... tetragonal
Energy above the lowest structure with this stoichiometry ... 0.2556 eV per atom

Number 1: electronic total energy -4.7336 eV/atom. Number 2: electronic total energy -6.6988 eV/atom.